# 1
# Cu2HgF4 PBE optimized geometry
data_Cu2HgF4
_cell_length_a 6.689
_cell_length_b 6.684
_cell_length_c 7.090
_cell_angle_alpha 132.57
_cell_angle_beta 99.47
_cell_angle_gamma 96.25
_symmetry_space_group_name_H-M 'P 1'
_symmetry_Int_Tables_number 1
loop_
_symmetry_equiv_pos_as_xyz
'x,y,z'
loop_
_atom_site_label
_atom_site_fract_x
_atom_site_fract_y
_atom_site_fract_z
Cu1 0.125 0.375 0.750
Cu2 0.625 0.375 0.250
Cu3 0.625 0.375 0.750
Cu4 0.625 0.875 0.250
F1 0.339 0.180 0.671
F2 0.509 0.668 0.329
F3 0.903 0.013 0.501
F4 0.347 0.737 0.999
F5 0.741 0.082 0.171
F6 0.738 0.350 0.002
F7 0.911 0.570 0.829
F8 0.512 0.400 0.498
Hg1 0.156 0.656 0.500
Hg2 0.094 0.094 0.000
# Total magnetization (μB/cell): 3.05
# Formation energy (no corrections) (eV per atom): -1.29
# Total DFT energy (no corrections) (eV per atom): -3.571

# 2
# NaInPt4 PBE optimized geometry
data_NaInPt4
_cell_length_a 5.373
_cell_length_b 5.373
_cell_length_c 5.373
_cell_angle_alpha 60.00
_cell_angle_beta 60.00
_cell_angle_gamma 60.00
_symmetry_space_group_name_H-M 'P 1'
_symmetry_Int_Tables_number 1
loop_
_symmetry_equiv_pos_as_xyz
'x,y,z'
loop_
_atom_site_label
_atom_site_fract_x
_atom_site_fract_y
_atom_site_fract_z
Pt1 0.125 0.625 0.625
Pt2 0.625 0.625 0.125
Pt3 0.625 0.125 0.625
Pt4 0.625 0.625 0.625
Na1 0.000 0.000 0.000
In1 0.250 0.250 0.250
# Energy of formation from the pure elements (eV per atom): -0.30
# Total magnetization (μB/cell): 0.00
# Total DFT energy (no corrections) (eV per atom): -5.007

# 3
# CsTaS2O8 PBE optimized geometry
data_CsTaS2O8
_cell_length_a 5.179
_cell_length_b 5.179
_cell_length_c 8.765
_cell_angle_alpha 86.59
_cell_angle_beta 86.59
_cell_angle_gamma 62.67
_symmetry_space_group_name_H-M 'P 1'
_symmetry_Int_Tables_number 1
loop_
_symmetry_equiv_pos_as_xyz
'x,y,z'
loop_
_atom_site_label
_atom_site_fract_x
_atom_site_fract_y
_atom_site_fract_z
O1 0.318 0.318 0.654
O2 0.682 0.682 0.346
O3 0.312 0.763 0.166
O4 0.764 0.764 0.069
O5 0.688 0.237 0.834
O6 0.763 0.312 0.166
O7 0.236 0.236 0.931
O8 0.237 0.688 0.834
Cs1 0.000 0.000 0.500
S1 0.636 0.636 0.189
S2 0.364 0.364 0.811
Ta1 0.000 0.000 0.000
# Total magnetization (μB/cell): 2.00
# Formation energy (no corrections) (eV per atom): -1.60
# Total DFT energy (no corrections) (eV per atom): -6.650

# 4
# PrTm3Al PBE optimized geometry
data_PrTm3Al
_cell_length_a 3.592
_cell_length_b 6.715
_cell_length_c 12.406
_cell_angle_alpha 85.72
_cell_angle_beta 90.00
_cell_angle_gamma 74.50
_symmetry_space_group_name_H-M 'P 1'
_symmetry_Int_Tables_number 1
loop_
_symmetry_equiv_pos_as_xyz
'x,y,z'
loop_
_atom_site_label
_atom_site_fract_x
_atom_site_fract_y
_atom_site_fract_z
Tm1 0.970 0.060 0.806
Tm2 0.860 0.281 0.546
Tm3 0.030 0.940 0.194
Tm4 0.140 0.719 0.454
Tm5 0.366 0.269 0.017
Tm6 0.634 0.731 0.983
Al1 0.456 0.089 0.381
Al2 0.544 0.911 0.619
Pr1 0.227 0.545 0.747
Pr2 0.773 0.455 0.253
# Energy of formation from the pure elements (eV per atom): -0.13
# Total magnetization (μB/cell): 0.77
# Relative energy among the computed polymorphs (eV per atom): 0.000
# Total DFT energy (no corrections) (eV per atom): -4.521